1.
Rb2BaW: relaxed, PBE-GGA.

Cell lengths 6.4577, 6.4577, 6.4577 Å; angles 60.00, 60.00, 60.00 degrees
Closest atoms and distances in Å follow each position.
Element x y z (fractional)
1 W 0.5000 0.5000 0.5000  8 Rb 3.95
2 Rb 0.7500 0.7500 0.7500  4 Ba 3.95, 4 W 3.95
3 Ba 0.0000 0.0000 0.0000  8 Rb 3.95
4 Rb 0.2500 0.2500 0.2500  4 Ba 3.95, 4 W 3.95

Summary:
ΔE_f in eV per atom: 1.62
Theoretical density in g/cm3: 4.29
Electronic total energy in eV/atom: -2.58
Density of states at the Fermi level in states/eV/atom: 1.1339
Energy above the lowest structure with this stoichiometry in meV per atom: 88

***

2.
Rb2BaW: relaxed, PBE-GGA.

Cell lengths 5.2408, 5.2408, 14.9864 Å; angles 79.93, 79.93, 90.00 degrees
Closest atoms and distances in Å follow each position.
Element x y z (fractional)
1 Ba 0.5000 0.5000 0.0000  4 W 3.71, 4 Rb 4.12
2 Rb 0.3750 0.3526 0.7500  4 Rb 3.54-3.88
3 W 0.7500 0.2500 0.5000  4 Ba 3.71, 4 Rb 4.04
4 Ba 0.2500 0.7500 0.5000  4 W 3.71, 4 Rb 4.12
5 Rb 0.8750 0.8974 0.7500  4 Rb 3.54-3.88
6 Rb 0.6474 0.1250 0.2500  4 Rb 3.54-3.88
7 Rb 0.1026 0.6250 0.2500  4 Rb 3.54-3.88
8 W 0.0000 0.0000 0.0000  4 Ba 3.71, 4 Rb 4.04

Summary:
ΔE_f in eV per atom: 1.53
Theoretical density in g/cm3: 4.10
Electronic total energy in eV/atom: -2.67
Density of states at the Fermi level in states/eV/atom: 1.0236
Energy above the lowest structure with this stoichiometry in meV per atom: 0

***

3.
RbBaY2: relaxed, PBE-GGA.

Cell lengths 4.9990, 4.9990, 14.4219 Å; angles 80.02, 80.02, 90.00 degrees
Closest atoms and distances in Å follow each position.
Element x y z (fractional)
1 Ba 0.7500 0.2500 0.5000  4 Rb 3.53, 4 Y 3.91
2 Y 0.1220 0.6250 0.2500  4 Y 3.51-3.56, 2 Ba 3.91, 2 Rb 3.92
3 Rb 0.5000 0.5000 0.0000  4 Ba 3.53, 4 Y 3.92
4 Y 0.3750 0.3720 0.7500  4 Y 3.51-3.56, 2 Ba 3.91, 2 Rb 3.92
5 Y 0.6280 0.1250 0.2500  4 Y 3.51-3.56, 2 Ba 3.91, 2 Rb 3.92
6 Ba 0.0000 0.0000 0.0000  4 Rb 3.53, 4 Y 3.91
7 Rb 0.2500 0.7500 0.5000  4 Ba 3.53, 4 Y 3.92
8 Y 0.8750 0.8780 0.7500  4 Y 3.51-3.56, 2 Ba 3.91, 2 Rb 3.92

Summary:
ΔE_f in eV per atom: 0.69
Theoretical density in g/cm3: 3.81
Electronic total energy in eV/atom: -3.26
Density of states at the Fermi level in states/eV/atom: 1.6080
Energy above the lowest structure with this stoichiometry in meV per atom: 39

***

4.
RbBa3Y: relaxed, PBE-GGA.

Cell lengths 7.0981, 7.0981, 7.0981 Å; angles 90.00, 90.00, 90.00 degrees
Closest atoms and distances in Å follow each position.
Element x y z (fractional)
1 Ba 0.0000 0.0000 0.5000  2 Y 3.55
2 Ba 0.5000 0.0000 0.0000  2 Y 3.55
3 Rb 0.5000 0.5000 0.5000  12 Ba 5.02
4 Ba 0.0000 0.5000 0.0000  2 Y 3.55
5 Y 0.0000 0.0000 0.0000  6 Ba 3.55

Summary:
ΔE_f in eV per atom: 0.47
Theoretical density in g/cm3: 2.72
Electronic total energy in eV/atom: -2.17
Density of states at the Fermi level in states/eV/atom: 1.6939
Energy above the lowest structure with this stoichiometry in meV per atom: 0

***

Question: Look up the density of states at the Fermi level of the fourth one.
Answer: 1.6939 states/eV/atom

***

What did the third record say?
RbBaY2: relaxed, PBE-GGA.

Cell lengths 4.9990, 4.9990, 14.4219 Å; angles 80.02, 80.02, 90.00 degrees
Closest atoms and distances in Å follow each position.
Element x y z (fractional)
1 Ba 0.7500 0.2500 0.5000  4 Rb 3.53, 4 Y 3.91
2 Y 0.1220 0.6250 0.2500  4 Y 3.51-3.56, 2 Ba 3.91, 2 Rb 3.92
3 Rb 0.5000 0.5000 0.0000  4 Ba 3.53, 4 Y 3.92
4 Y 0.3750 0.3720 0.7500  4 Y 3.51-3.56, 2 Ba 3.91, 2 Rb 3.92
5 Y 0.6280 0.1250 0.2500  4 Y 3.51-3.56, 2 Ba 3.91, 2 Rb 3.92
6 Ba 0.0000 0.0000 0.0000  4 Rb 3.53, 4 Y 3.91
7 Rb 0.2500 0.7500 0.5000  4 Ba 3.53, 4 Y 3.92
8 Y 0.8750 0.8780 0.7500  4 Y 3.51-3.56, 2 Ba 3.91, 2 Rb 3.92

Summary:
ΔE_f in eV per atom: 0.69
Theoretical density in g/cm3: 3.81
Electronic total energy in eV/atom: -3.26
Density of states at the Fermi level in states/eV/atom: 1.6080
Energy above the lowest structure with this stoichiometry in meV per atom: 39

***

Question: What is the formula in the third record?
Answer: RbBaY2

***

Question: Look up the density of states at the Fermi level of the fourth one.
Answer: 1.6939 states/eV/atom